Record 1
Density functional theory data (PBE-GGA) for a relaxed structure of PrDy2Pa.

## Properties
ΔH_f (0 K), eV/atom: 0.13
Total energy, eV for the cell shown: -22.97
DOS at the Fermi energy, states/eV/cell: 6.536
E above lowest polymorph, meV per atom: 0.0

Cell and atoms, written as CIF:
```
data_PrDy2Pa
_chemical_formula_sum 'Pr1 Dy2 Pa1'
_symmetry_space_group_name_H-M 'P 4/m m m'
_symmetry_Int_Tables_number 123
_symmetry_space_group_name_Hall '-P 4 2'
_cell_length_a 3.436
_cell_length_b 3.436
_cell_length_c 10.319
_cell_angle_alpha 90.00
_cell_angle_beta 90.00
_cell_angle_gamma 90.00
loop_
_atom_site_label
_atom_site_type_symbol
_atom_site_fract_x
_atom_site_fract_y
_atom_site_fract_z
_atom_site_occupancy
Pr1 Pr 0.000 0.000 0.000 1
Dy1 Dy 0.500 0.500 0.273 1
Pa1 Pa 0.000 0.000 0.500 1
```

=====

Record 2
Density functional theory data (PBE-GGA) for a relaxed structure of CeY6Th2.

## Properties
ΔH_f (0 K), eV/atom: 0.15
Total energy, eV for the cell shown: -232.88
DOS at the Fermi energy, states/eV/cell: 65.691

Cell and atoms, written as CIF:
```
data_CeY6Th2
_chemical_formula_sum 'Ce4 Y24 Th8'
_symmetry_space_group_name_H-M 'C 1 2/c 1'
_symmetry_Int_Tables_number 15
_cell_length_a 11.980
_cell_length_b 17.266
_cell_length_c 6.741
_cell_angle_alpha 90.00
_cell_angle_beta 122.76
_cell_angle_gamma 90.00
loop_
_symmetry_equiv_pos_as_xyz
'x,y,z'
'-x,-y,-z'
'-x,y,-z+1/2'
'x,-y,z+1/2'
'x+1/2,y+1/2,z'
'-x+1/2,-y+1/2,-z'
'-x+1/2,y+1/2,-z+1/2'
'x+1/2,-y+1/2,z+1/2'
loop_
_atom_site_label
_atom_site_type_symbol
_atom_site_fract_x
_atom_site_fract_y
_atom_site_fract_z
_atom_site_occupancy
Ce1 Ce 0.000 0.017 0.250 1
Y1 Y 0.036 0.342 0.029 1
Y2 Y 0.148 0.186 0.523 1
Y3 Y 0.177 0.157 0.050 1
Th1 Th 0.171 0.484 0.497 1
```

=====

Question: Look up the total energy of the first one.
Answer: -22.97 eV for the cell shown

=====

Question: Which value of total energy does entry 2 give?
Answer: -232.88 eV for the cell shown

=====

Question: The lowest ΔH_f (0 K) belongs to which entry?
Answer: PrDy2Pa